No. 1
VASP calculation (PBE) on K2BaNi after structural relaxation.

Output
Polymorph energy (0 for the lowest one), meV/atom: 116
Energy relative to the elements, eV/atom: 0.36

Cell lengths 8.3975, 8.3975, 8.3975 Å; angles 151.73, 135.47, 53.58 degrees
Last column: nearest neighbours and their distance in Å.
Sites, in units of the cell vectors:
K  0.0000  0.0000  0.0000  2 Ni 3.41
K  0.6532  0.1532  0.5000  4 Ni 3.81, 4 K 3.92-4.10, 2 Ba 4.01
Ba  0.3159  0.3159  0.0000  2 Ni 2.88
Ni  0.1813  0.6813  0.5000  2 Ba 2.88

No. 2
VASP calculation (PBE) on LiTbPrDy after structural relaxation.

Output
Energy relative to the elements, eV/atom: 0.17

Cell lengths 5.5576, 5.5576, 5.5576 Å; angles 60.00, 60.00, 60.00 degrees
Last column: nearest neighbours and their distance in Å.
Sites, in units of the cell vectors:
Li  0.0000  0.0000  0.0000  4 Tb 3.40, 4 Pr 3.40
Tb  0.2500  0.2500  0.2500  4 Dy 3.40, 4 Li 3.40
Pr  0.7500  0.7500  0.7500  4 Dy 3.40, 4 Li 3.40
Dy  0.5000  0.5000  0.5000  4 Tb 3.40, 4 Pr 3.40

Number 1: Fermi-level density of states 2.93 states/eV/cell, magnetic moment 0.0 μB per cell. Number 2: Fermi-level density of states 4.02 states/eV/cell, magnetic moment 0.0 μB per cell.